Record 1
Material: RbAcH6Pd2
Method: DFT, PBE-GGA
State: optimized geometry

Output
SG: C2/c (15)
Electronic total energy (Ry/atom): -0.2873
Spin magnetization (Bohr magnetons per cell): 0.0

Lattice parameters (Å, degrees): 6.6084 6.6084 8.4691 106.82 106.82 87.05
Closest atoms and distances in Å follow each position.
Element x y z (fractional)
Rb 0.0755 0.9245 0.7500  6 H 2.85-2.96
Rb 0.9245 0.0755 0.2500  6 H 2.85-2.96
Ac 0.4425 0.5575 0.2500  8 H 2.57-2.74
Ac 0.5575 0.4425 0.7500  8 H 2.57-2.74
H 0.0618 0.6557 0.0811  2 Pd 1.76-1.80
H 0.1817 0.3196 0.7172  1 Pd 1.72
H 0.3196 0.1817 0.2172  1 Pd 1.72
H 0.3278 0.6515 0.5480  1 Pd 1.74
H 0.3443 0.9382 0.4189  2 Pd 1.76-1.80
H 0.3485 0.6722 0.9520  1 Pd 1.74
H 0.6515 0.3278 0.0480  1 Pd 1.74
H 0.6557 0.0618 0.5811  2 Pd 1.76-1.80
H 0.6722 0.3485 0.4520  1 Pd 1.74
H 0.6804 0.8183 0.7828  1 Pd 1.72
H 0.8183 0.6804 0.2828  1 Pd 1.72
H 0.9382 0.3443 0.9189  2 Pd 1.76-1.80
Pd 0.1375 0.4931 0.8978  4 H 1.72-1.80
Pd 0.4931 0.1375 0.3978  4 H 1.72-1.80
Pd 0.5069 0.8625 0.6022  4 H 1.72-1.80
Pd 0.8625 0.5069 0.1022  4 H 1.72-1.80

---

Record 2
Material: AcH7Pd2Rh2
Method: DFT, PBE-GGA
State: optimized geometry

Output
SG: R-3m (166)
DOS(E_F) (states/eV/cell): 5.3
Electronic total energy (Ry/atom): -0.3322
Spin magnetization (Bohr magnetons per cell): 0.0

Lattice parameters (Å, degrees): 7.2706 7.2706 7.2706 38.03 38.03 38.03
Closest atoms and distances in Å follow each position.
Element x y z (fractional)
Ac 0.0000 0.0000 0.0000  12 H 2.72
H 0.0108 0.5920 0.5920  1 Rh 1.66
H 0.4080 0.4080 0.9892  1 Rh 1.66
H 0.4080 0.9892 0.4080  1 Rh 1.66
H 0.5000 0.5000 0.5000  2 Rh 1.58
H 0.5920 0.0108 0.5920  1 Rh 1.66
H 0.5920 0.5920 0.0108  1 Rh 1.66
H 0.9892 0.4080 0.4080  1 Rh 1.66
Pd 0.1952 0.1952 0.1952  3 H 1.87
Pd 0.8048 0.8048 0.8048  3 H 1.87
Rh 0.4217 0.4217 0.4217  4 H 1.58-1.66
Rh 0.5783 0.5783 0.5783  4 H 1.58-1.66